First-principles (PBE) data for La2Sm2C2Br4Cl after structural relaxation, as listed in OQMD via LeMat-Bulk.

## Properties
Space-group type   C2/m (12)
Electronic total energy   -62.501 eV/cell
Spin magnetization   0.0 Bohr magnetons per cell

a = 9.936 Å, b = 9.936 Å, c = 8.131 Å
α = 103.16°, β = 103.16°, γ = 22.94°
Fractional positions:
1 Br 0.837 0.837 0.135
2 Br 0.171 0.171 0.335
3 Br 0.829 0.829 0.665
4 Br 0.163 0.163 0.865
5 C 0.463 0.463 0.477
6 C 0.537 0.537 0.523
7 Cl 0.500 0.500 0.000
8 La 0.001 0.001 0.290
9 La 0.999 0.999 0.710
10 Sm 0.345 0.345 0.403
11 Sm 0.655 0.655 0.597

---

First-principles (PBE) data for La2Sm2CBr2Cl3 after structural relaxation, as listed in OQMD via LeMat-Bulk.

## Properties
Space-group type   C2/m (12)
Distance to the lowest polymorph of the same formula   0.00 eV per formula unit
Electronic total energy   -53.551 eV/cell
Spin magnetization   0.4 Bohr magnetons per cell

a = 9.375 Å, b = 9.375 Å, c = 8.063 Å
α = 104.96°, β = 104.96°, γ = 23.94°
Site moments in Bohr magnetons follow the coordinates.
Fractional positions:
1 Br 0.834 0.834 0.188  0.00
2 Br 0.166 0.166 0.812  0.00
3 C 0.500 0.500 0.000  0.00
4 Cl 0.157 0.157 0.357  0.00
5 Cl 0.500 0.500 0.500  0.00
6 Cl 0.843 0.843 0.643  0.00
7 La 0.646 0.646 0.089  0.08
8 La 0.354 0.354 0.911  0.08
9 Sm 0.000 0.000 0.213  0.01
10 Sm 0.000 0.000 0.787  0.01

---

First-principles (PBE) data for La2Sm2CBr2Cl3 after structural relaxation, as listed in OQMD via LeMat-Bulk.

## Properties
Space-group type   C2/m (12)
Distance to the lowest polymorph of the same formula   0.07 eV per formula unit
Electronic total energy   -53.484 eV/cell
Spin magnetization   0.4 Bohr magnetons per cell

a = 9.162 Å, b = 9.162 Å, c = 8.098 Å
α = 103.39°, β = 103.39°, γ = 24.60°
Site moments in Bohr magnetons follow the coordinates.
Fractional positions:
1 Br 0.164 0.164 0.369  0.00
2 Br 0.836 0.836 0.631  0.00
3 C 0.500 0.500 0.000  0.00
4 Cl 0.834 0.834 0.175  0.00
5 Cl 0.500 0.500 0.500  0.00
6 Cl 0.166 0.166 0.825  0.00
7 La 0.648 0.648 0.082  0.07
8 La 0.352 0.352 0.918  0.07
9 Sm 0.998 0.998 0.211  0.01
10 Sm 0.002 0.002 0.789  0.01

---

First-principles (PBE) data for La2Sm2CBrCl4 after structural relaxation, as listed in OQMD via LeMat-Bulk.

## Properties
Space-group type   C2/m (12)
Electronic total energy   -54.293 eV/cell
Spin magnetization   0.4 Bohr magnetons per cell

a = 9.128 Å, b = 9.128 Å, c = 8.253 Å
α = 105.20°, β = 105.20°, γ = 24.76°
Site moments in Bohr magnetons follow the coordinates.
Fractional positions:
1 Br 0.500 0.500 0.500  0.00
2 C 0.500 0.500 0.000  0.00
3 Cl 0.834 0.834 0.164  0.00
4 Cl 0.161 0.161 0.350  0.00
5 Cl 0.839 0.839 0.650  0.00
6 Cl 0.166 0.166 0.836  0.00
7 La 0.649 0.649 0.090  0.08
8 La 0.351 0.351 0.910  0.08
9 Sm 0.999 0.999 0.205  0.01
10 Sm 0.001 0.001 0.795  0.01

---

First-principles (PBE) data for La2Sm2CBr2Cl3 after structural relaxation, as listed in OQMD via LeMat-Bulk.

## Properties
Space-group type   C2/m (12)
Distance to the lowest polymorph of the same formula   0.03 eV per formula unit
Electronic total energy   -53.517 eV/cell
Spin magnetization   0.2 Bohr magnetons per cell

a = 9.112 Å, b = 9.112 Å, c = 8.299 Å
α = 102.26°, β = 102.26°, γ = 25.04°
Fractional positions:
1 Br 0.170 0.170 0.343
2 Br 0.830 0.830 0.657
3 C 0.500 0.500 0.000
4 Cl 0.825 0.825 0.146
5 Cl 0.500 0.500 0.500
6 Cl 0.175 0.175 0.854
7 La 0.996 0.996 0.215
8 La 0.004 0.004 0.785
9 Sm 0.643 0.643 0.076
10 Sm 0.357 0.357 0.924

---

First-principles (PBE) data for Nd4C2Br2Cl3 after structural relaxation, as listed in OQMD via LeMat-Bulk.

## Properties
Space-group type   C2/m (12)
Electronic total energy   -62.801 eV/cell
Spin magnetization   0.0 Bohr magnetons per cell

a = 9.929 Å, b = 9.929 Å, c = 7.905 Å
α = 111.77°, β = 111.77°, γ = 22.67°
Fractional positions:
1 Br 0.164 0.164 0.443
2 Br 0.836 0.836 0.557
3 C 0.539 0.539 0.038
4 C 0.461 0.461 0.962
5 Cl 0.833 0.833 0.106
6 Cl 0.500 0.500 0.500
7 Cl 0.167 0.167 0.894
8 Nd 0.664 0.664 0.157
9 Nd 0.998 0.998 0.209
10 Nd 0.002 0.002 0.791
11 Nd 0.336 0.336 0.843